{"formula": "Pm5Sm8Tm", "functional": "PBE", "state": "optimized geometry", "cell": [[7.7947, -0.2839, -2.2235], [-4.2696, 7.5416, -2.7059], [0.4157, 0.2839, 8.0950]], "species": ["Pm", "Pm", "Pm", "Pm", "Pm", "Sm", "Sm", "Sm", "Sm", "Sm", "Sm", "Sm", "Sm", "Tm"], "frac_coords": [[0.0439, 0.3384, 0.1038], [0.8859, 0.9118, 0.1728], [0.7655, 0.6616, 0.7055], [0.5040, 0.0000, 0.5040], [0.2611, 0.0882, 0.9742], [0.1894, 0.7557, 0.0756], [0.9469, 0.0678, 0.6325], [0.7535, 0.2751, 0.3478], [0.6509, 0.3824, 0.9138], [0.5314, 0.6176, 0.2686], [0.5647, 0.9322, 0.8791], [0.3199, 0.2443, 0.4337], [0.0727, 0.7249, 0.4783], [0.2603, 0.5000, 0.7603]], "formation_energy_ev_per_atom": 0.24, "magmom_total_mub_per_atom": 0.00}